Computed, not measured: a geometry-optimized La2CeGa3Rh4 structure at the PBE level of DFT.

Geometry as CIF:
```
data_La2CeGa3Rh4
_cell_length_a 4.3832
_cell_length_b 4.3832
_cell_length_c 10.7491
_cell_angle_alpha 90.00
_cell_angle_beta 90.00
_cell_angle_gamma 90.00
_symmetry_space_group_name_H-M 'P -4 m 2'
_symmetry_Int_Tables_number 115
_symmetry_space_group_name_Hall 'P -4 -2'
loop_
_atom_site_label
_atom_site_type_symbol
_atom_site_fract_x
_atom_site_fract_y
_atom_site_fract_z
La1 La 0.0000 0.5000 0.2197
Ce1 Ce 0.0000 0.0000 0.5000
Ga1 Ga 0.0000 0.5000 0.8832
Ga2 Ga 0.5000 0.5000 0.5000
Rh1 Rh 0.0000 0.0000 0.0000
Rh2 Rh 0.0000 0.5000 0.6455
Rh3 Rh 0.5000 0.5000 0.0000
```


Computed, not measured: a geometry-optimized LaCeGaRu structure at the PBE level of DFT.

Geometry as CIF:
```
data_LaCeGaRu
_cell_length_a 7.2064
_cell_length_b 7.2064
_cell_length_c 7.2064
_cell_angle_alpha 90.00
_cell_angle_beta 90.00
_cell_angle_gamma 90.00
_symmetry_space_group_name_H-M 'F -4 3 m'
_symmetry_Int_Tables_number 216
_symmetry_space_group_name_Hall 'F -4 2 3'
loop_
_atom_site_label
_atom_site_type_symbol
_atom_site_fract_x
_atom_site_fract_y
_atom_site_fract_z
La1 La 0.0000 0.0000 0.0000
Ce1 Ce 0.0000 0.0000 0.5000
Ga1 Ga 0.2500 0.2500 0.7500
Ru1 Ru 0.2500 0.2500 0.2500
```

The calculation puts the energy above the lowest structure with this stoichiometry at 0.00 kcal/mol of atoms.


Computed, not measured: a geometry-optimized LaCeGaRu structure at the PBE level of DFT.

Geometry as CIF:
```
data_LaCeGaRu
_cell_length_a 4.6376
_cell_length_b 4.6376
_cell_length_c 9.8259
_cell_angle_alpha 90.00
_cell_angle_beta 90.00
_cell_angle_gamma 90.00
_symmetry_space_group_name_H-M 'P 4/n m m'
_symmetry_Int_Tables_number 129
loop_
_symmetry_equiv_pos_as_xyz
'x,y,z'
'-x,-y,-z'
'-y+1/2,x,z'
'y+1/2,-x,-z'
'-x+1/2,-y+1/2,z'
'x+1/2,y+1/2,-z'
'y,-x+1/2,z'
'-y,x+1/2,-z'
'x+1/2,-y,-z'
'-x+1/2,y,z'
'-y,-x,-z'
'y,x,z'
'-x,y+1/2,-z'
'x,-y+1/2,z'
'y+1/2,x+1/2,-z'
'-y+1/2,-x+1/2,z'
loop_
_atom_site_label
_atom_site_type_symbol
_atom_site_fract_x
_atom_site_fract_y
_atom_site_fract_z
La1 La 0.2500 0.2500 0.1979
Ce1 Ce 0.2500 0.7500 0.5000
Ga1 Ga 0.2500 0.2500 0.8919
Ru1 Ru 0.2500 0.2500 0.6398
```

The calculation puts the energy above the lowest structure with this stoichiometry at 0.94 kcal/mol of atoms.


Computed, not measured: a geometry-optimized LaCeGaSn structure at the PBE level of DFT.

Geometry as CIF:
```
data_LaCeGaSn
_cell_length_a 4.4091
_cell_length_b 4.4091
_cell_length_c 11.4526
_cell_angle_alpha 90.00
_cell_angle_beta 90.00
_cell_angle_gamma 90.00
_symmetry_space_group_name_H-M 'P 4/n m m'
_symmetry_Int_Tables_number 129
loop_
_symmetry_equiv_pos_as_xyz
'x,y,z'
'-x,-y,-z'
'-y+1/2,x,z'
'y+1/2,-x,-z'
'-x+1/2,-y+1/2,z'
'x+1/2,y+1/2,-z'
'y,-x+1/2,z'
'-y,x+1/2,-z'
'x+1/2,-y,-z'
'-x+1/2,y,z'
'-y,-x,-z'
'y,x,z'
'-x,y+1/2,-z'
'x,-y+1/2,z'
'y+1/2,x+1/2,-z'
'-y+1/2,-x+1/2,z'
loop_
_atom_site_label
_atom_site_type_symbol
_atom_site_fract_x
_atom_site_fract_y
_atom_site_fract_z
La1 La 0.2500 0.2500 0.2199
Ce1 Ce 0.2500 0.7500 0.5000
Ga1 Ga 0.2500 0.2500 0.6945
Sn1 Sn 0.2500 0.2500 0.9419
```

The calculation puts the energy above the lowest structure with this stoichiometry at 2.59 kcal/mol of atoms.


Number 1: D(E_F) 11.23 states/eV/f.u., ΔE_f -802 meV per atom. Number 2: D(E_F) 5.22 states/eV/f.u., ΔE_f -295 meV per atom. Number 3: D(E_F) 5.01 states/eV/f.u., ΔE_f -254 meV per atom. Number 4: D(E_F) 6.60 states/eV/f.u., ΔE_f -415 meV per atom.